[1]
This record from the Alexandria database describes crystalline Sr6P2HI3 at its relaxed geometry. The functional is PBE-GGA.

Final energy in eV/atom: -3.54
Spin magnetization in μB/cell: 0.70
N(E_F) in states/eV/f.u.: 6.00

Unit cell a=7.632 b=7.632 c=8.307 alpha=98.74 beta=98.74 gamma=120.16
Sites, in units of the cell vectors:
Sr  0.406  0.069  0.202
Sr  0.732  0.732  0.197
Sr  0.594  0.931  0.798
Sr  0.931  0.594  0.798
Sr  0.268  0.268  0.803
Sr  0.069  0.406  0.202
P  0.333  0.667  0.000
P  0.667  0.333  0.000
I  0.165  0.835  0.500
I  0.500  0.500  0.500
I  0.835  0.165  0.500
H  0.000  0.000  0.000


[2]
This record from the Alexandria database describes crystalline TePHI2 at its relaxed geometry. The functional is PBE-GGA.

Final energy in eV/atom: -2.26
Spin magnetization in μB/cell: 0.93
N(E_F) in states/eV/f.u.: 4.06

Unit cell a=5.623 b=5.623 c=5.220 alpha=90.00 beta=90.00 gamma=90.00
Last column: magnetic moment on the atom in μB.
Sites, in units of the cell vectors:
I  0.000  0.500  0.000  0.01
I  0.500  0.000  0.000  0.01
Te  0.000  0.000  0.500  -0.03
H  0.500  0.500  0.500  0.37
P  0.000  0.000  0.000  0.00


[3]
This record from the Alexandria database describes crystalline TeP2HI at its relaxed geometry. The functional is PBE-GGA.

Final energy in eV/atom: -1.99
Spin magnetization in μB/cell: 3.17
N(E_F) in states/eV/f.u.: 3.94

Unit cell a=5.367 b=5.871 c=5.367 alpha=90.00 beta=90.00 gamma=90.00
Last column: magnetic moment on the atom in μB.
Sites, in units of the cell vectors:
P  0.000  0.000  0.500  0.52
P  0.500  0.000  0.000  0.41
Te  0.000  0.500  0.000  0.09
H  0.500  0.500  0.500  0.37
I  0.000  0.000  0.000  -0.02


[4]
This record from the Alexandria database describes crystalline TePHI2 at its relaxed geometry. The functional is PBE-GGA.

Final energy in eV/atom: -2.12
Spin magnetization in μB/cell: 0.00
N(E_F) in states/eV/f.u.: 5.48

Unit cell a=5.591 b=5.591 c=3.853 alpha=90.00 beta=90.00 gamma=90.00
Sites, in units of the cell vectors:
I  0.500  0.000  0.000
I  0.000  0.500  0.000
P  0.500  0.500  0.500
Te  0.000  0.000  0.500
H  0.000  0.000  0.000


[5]
This record from the Alexandria database describes crystalline PaH2I6 at its relaxed geometry. The functional is PBE-GGA.

Final energy in eV/atom: -3.25
Spin magnetization in μB/cell: 1.10
N(E_F) in states/eV/f.u.: 3.32

Unit cell a=7.781 b=8.213 c=12.145 alpha=90.00 beta=100.11 gamma=90.00
Last column: magnetic moment on the atom in μB.
Sites, in units of the cell vectors:
I  0.700  0.233  0.927  -0.02
I  0.257  0.270  0.074  -0.02
I  0.200  0.267  0.427  -0.02
I  0.743  0.730  0.926  -0.02
I  0.740  0.491  0.242  0.00
I  0.260  0.509  0.758  0.00
I  0.240  0.009  0.742  0.00
I  0.757  0.230  0.574  -0.02
I  0.760  0.991  0.258  0.00
I  0.300  0.767  0.073  -0.02
I  0.243  0.770  0.426  -0.02
I  0.800  0.733  0.573  -0.02
Pa  0.000  0.000  0.500  0.53
Pa  0.500  0.500  0.000  0.53
H  0.247  0.727  0.744  0.01
H  0.253  0.227  0.756  0.01
H  0.753  0.273  0.256  0.01
H  0.747  0.773  0.244  0.01


[6]
This record from the Alexandria database describes crystalline PaH2I2 at its relaxed geometry. The functional is PBE-GGA.

Final energy in eV/atom: -4.59
Spin magnetization in μB/cell: 1.01
N(E_F) in states/eV/f.u.: 3.15

Unit cell a=3.869 b=3.869 c=9.331 alpha=78.03 beta=78.03 gamma=60.00
Last column: magnetic moment on the atom in μB.
Sites, in units of the cell vectors:
I  0.580  0.580  0.260  -0.03
I  0.420  0.420  0.740  -0.03
H  0.681  0.681  0.957  -0.01
H  0.319  0.319  0.043  -0.01
Pa  0.000  0.000  0.000  0.97


[7]
This record from the Alexandria database describes crystalline PaHI3 at its relaxed geometry. The functional is PBE-GGA.

Final energy in eV/atom: -4.05
Spin magnetization in μB/cell: 2.01
N(E_F) in states/eV/f.u.: 2.47

Unit cell a=4.200 b=8.441 c=12.271 alpha=90.00 beta=90.00 gamma=104.41
Last column: magnetic moment on the atom in μB.
Sites, in units of the cell vectors:
H  0.266  0.032  0.750  -0.01
H  0.734  0.968  0.250  -0.01
I  0.864  0.227  0.570  -0.02
I  0.864  0.227  0.930  -0.02
I  0.136  0.773  0.430  -0.02
I  0.569  0.638  0.750  -0.03
I  0.136  0.773  0.070  -0.02
I  0.431  0.362  0.250  -0.03
Pa  0.610  0.720  0.250  0.92
Pa  0.390  0.280  0.750  0.92


[8]
This record from the Alexandria database describes crystalline PaH2I5 at its relaxed geometry. The functional is PBE-GGA.

Final energy in eV/atom: -3.33
Spin magnetization in μB/cell: 0.00
N(E_F) in states/eV/f.u.: 6.57

Unit cell a=3.796 b=8.677 c=17.018 alpha=90.00 beta=90.00 gamma=102.63
Sites, in units of the cell vectors:
I  0.627  0.254  0.634
I  0.855  0.710  0.913
I  0.145  0.290  0.087
I  0.373  0.746  0.366
I  0.855  0.710  0.587
I  0.145  0.290  0.413
I  0.627  0.254  0.866
I  0.412  0.825  0.750
I  0.588  0.175  0.250
I  0.373  0.746  0.134
Pa  0.764  0.528  0.750
Pa  0.236  0.472  0.250
H  0.253  0.506  0.693
H  0.747  0.494  0.307
H  0.253  0.506  0.807
H  0.747  0.494  0.193


[9]
This record from the Alexandria database describes crystalline PaH2I6 at its relaxed geometry. The functional is PBE-GGA.

Final energy in eV/atom: -3.28
Spin magnetization in μB/cell: 1.00
N(E_F) in states/eV/f.u.: 0.95

Unit cell a=3.836 b=11.997 c=10.962 alpha=65.24 beta=55.86 gamma=75.50
Last column: magnetic moment on the atom in μB.
Sites, in units of the cell vectors:
I  0.518  0.765  0.103  -0.03
I  0.953  0.001  0.718  -0.03
I  0.047  0.999  0.282  -0.03
I  0.004  0.385  0.325  0.00
I  0.482  0.235  0.897  -0.03
I  0.996  0.615  0.675  0.00
Pa  0.000  0.000  0.000  0.94
H  0.501  0.355  0.426  0.00
H  0.499  0.645  0.574  0.00


[10]
This record from the Alexandria database describes crystalline PaHI at its relaxed geometry. The functional is PBE-GGA.

Final energy in eV/atom: -5.27
Spin magnetization in μB/cell: 2.70
N(E_F) in states/eV/f.u.: 4.51

Unit cell a=4.122 b=3.800 c=11.095 alpha=82.46 beta=79.29 gamma=57.16
Last column: magnetic moment on the atom in μB.
Sites, in units of the cell vectors:
Pa  0.204  0.972  0.619  1.13
Pa  0.796  0.028  0.381  1.13
I  0.766  0.642  0.826  -0.01
I  0.234  0.358  0.174  -0.01
H  0.586  0.252  0.576  -0.01
H  0.414  0.748  0.424  -0.01


[11]
This record from the Alexandria database describes crystalline PaH2I8 at its relaxed geometry. The functional is PBE-GGA.

Final energy in eV/atom: -2.96
Spin magnetization in μB/cell: 1.06
N(E_F) in states/eV/f.u.: 3.06

Unit cell a=12.347 b=8.811 c=7.283 alpha=105.12 beta=90.00 gamma=134.48
Last column: magnetic moment on the atom in μB.
Sites, in units of the cell vectors:
H  0.840  0.680  0.350  0.00
H  0.160  0.320  0.650  0.00
I  0.770  0.541  0.107  -0.01
I  0.926  0.189  0.302  -0.02
I  0.379  0.759  0.433  0.09
I  0.230  0.459  0.893  -0.01
I  0.737  0.811  0.698  -0.02
I  0.263  0.189  0.302  -0.02
I  0.074  0.811  0.698  -0.02
I  0.621  0.241  0.567  0.09
Pa  0.000  0.000  0.000  0.81


[12]
This record from the Alexandria database describes crystalline PaHI6 at its relaxed geometry. The functional is PBE-GGA.

Final energy in eV/atom: -3.45
Spin magnetization in μB/cell: 0.00

Unit cell a=8.665 b=7.977 c=7.977 alpha=119.61 beta=73.33 gamma=73.33
Sites, in units of the cell vectors:
I  0.269  0.338  0.635
I  0.269  0.635  0.338
I  0.731  0.365  0.662
I  0.237  0.967  0.967
I  0.731  0.662  0.365
I  0.763  0.033  0.033
H  0.000  0.000  0.000
Pa  0.500  0.500  0.500


[13]
This record from the Alexandria database describes crystalline Pa2HI8 at its relaxed geometry. The functional is PBE-GGA.

Final energy in eV/atom: -3.94
Spin magnetization in μB/cell: 1.03
N(E_F) in states/eV/f.u.: 7.20

Unit cell a=6.485 b=9.016 c=9.016 alpha=89.05 beta=86.84 gamma=86.84
Last column: magnetic moment on the atom in μB.
Sites, in units of the cell vectors:
Pa  0.772  0.121  0.121  0.57
Pa  0.228  0.879  0.879  0.57
I  0.246  0.116  0.658  -0.02
I  0.768  0.347  0.347  -0.02
I  0.246  0.658  0.116  -0.02
I  0.712  0.868  0.868  -0.01
I  0.754  0.884  0.342  -0.02
I  0.754  0.342  0.884  -0.02
I  0.288  0.132  0.132  -0.01
I  0.232  0.653  0.653  -0.02
H  0.000  0.000  0.000  0.00


[14]
This record from the Alexandria database describes crystalline PaH3I6 at its relaxed geometry. The functional is PBE-GGA.

Final energy in eV/atom: -3.16
Spin magnetization in μB/cell: 1.94
N(E_F) in states/eV/f.u.: 7.34

Unit cell a=9.724 b=12.719 c=8.102 alpha=141.93 beta=51.84 gamma=140.61
Last column: magnetic moment on the atom in μB.
Sites, in units of the cell vectors:
H  0.000  0.000  0.000  0.01
H  0.637  0.642  0.286  0.04
H  0.363  0.358  0.714  0.04
I  0.961  0.220  0.271  -0.01
I  0.651  0.893  0.565  -0.01
I  0.039  0.780  0.729  -0.01
I  0.659  0.416  0.068  -0.01
I  0.341  0.584  0.932  -0.01
I  0.349  0.107  0.435  -0.01
Pa  0.500  0.000  0.500  1.59


[15]
This record from the Alexandria database describes crystalline Pa2HI5 at its relaxed geometry. The functional is PBE-GGA.

Final energy in eV/atom: -4.45
Spin magnetization in μB/cell: 8.02
N(E_F) in states/eV/f.u.: 2.63

Unit cell a=3.771 b=8.305 c=20.344 alpha=90.00 beta=90.00 gamma=103.12
Last column: magnetic moment on the atom in μB.
Sites, in units of the cell vectors:
Pa  0.212  0.424  0.674  1.70
Pa  0.788  0.576  0.326  1.70
Pa  0.212  0.424  0.826  1.70
Pa  0.788  0.576  0.174  1.70
I  0.430  0.860  0.250  -0.04
I  0.363  0.725  0.435  -0.02
I  0.139  0.278  0.141  -0.03
I  0.570  0.140  0.750  -0.04
I  0.861  0.722  0.641  -0.03
I  0.139  0.278  0.359  -0.03
I  0.363  0.725  0.065  -0.02
I  0.637  0.275  0.935  -0.02
I  0.861  0.722  0.859  -0.03
I  0.637  0.275  0.565  -0.02
H  0.263  0.526  0.250  -0.02
H  0.737  0.474  0.750  -0.02


[16]
This record from the Alexandria database describes crystalline PaHI at its relaxed geometry. The functional is PBE-GGA.

Final energy in eV/atom: -5.09
Spin magnetization in μB/cell: 0.00
N(E_F) in states/eV/f.u.: 3.86

Unit cell a=4.840 b=3.776 c=3.776 alpha=120.00 beta=90.00 gamma=90.00
Sites, in units of the cell vectors:
Pa  0.166  0.000  0.000
H  0.167  0.333  0.667
I  0.666  0.667  0.333


[17]
This record from the Alexandria database describes crystalline PaH2I at its relaxed geometry. The functional is PBE-GGA.

Final energy in eV/atom: -4.82
Spin magnetization in μB/cell: 1.89
N(E_F) in states/eV/f.u.: 5.73

Unit cell a=3.834 b=3.834 c=5.681 alpha=70.28 beta=70.28 gamma=60.00
Last column: magnetic moment on the atom in μB.
Sites, in units of the cell vectors:
H  0.307  0.307  0.078  -0.01
H  0.693  0.693  0.922  -0.01
Pa  0.000  0.000  0.000  1.55
I  0.500  0.500  0.500  -0.01


[18]
This record from the Alexandria database describes crystalline PaHI2 at its relaxed geometry. The functional is PBE-GGA.

Final energy in eV/atom: -4.76
Spin magnetization in μB/cell: 2.01
N(E_F) in states/eV/f.u.: 3.93

Unit cell a=3.981 b=3.981 c=8.712 alpha=76.95 beta=76.95 gamma=60.01
Last column: magnetic moment on the atom in μB.
Sites, in units of the cell vectors:
I  0.213  0.213  0.359  -0.02
I  0.037  0.037  0.891  -0.02
Pa  0.458  0.458  0.625  1.65
H  0.792  0.792  0.625  -0.01


[19]
This record from the Alexandria database describes crystalline Pa2H2I7 at its relaxed geometry. The functional is PBE-GGA.

Final energy in eV/atom: -3.65
Spin magnetization in μB/cell: 3.64
N(E_F) in states/eV/f.u.: 13.13

Unit cell a=8.452 b=7.294 c=7.294 alpha=70.11 beta=70.05 gamma=70.05
Last column: magnetic moment on the atom in μB.
Sites, in units of the cell vectors:
I  0.000  0.000  0.000  -0.01
I  0.769  0.566  0.566  -0.02
I  0.306  0.421  0.916  -0.01
I  0.231  0.434  0.434  -0.02
I  0.694  0.084  0.579  -0.01
I  0.694  0.579  0.084  -0.01
I  0.306  0.916  0.421  -0.01
H  0.500  0.753  0.248  0.03
H  0.500  0.247  0.752  0.03
Pa  0.998  0.279  0.279  1.52
Pa  0.002  0.721  0.721  1.52


[20]
This record from the Alexandria database describes crystalline PaH2I8 at its relaxed geometry. The functional is PBE-GGA.

Final energy in eV/atom: -3.04
Spin magnetization in μB/cell: 0.00
N(E_F) in states/eV/f.u.: 15.21

Unit cell a=7.487 b=8.445 c=8.445 alpha=75.39 beta=92.16 gamma=92.16
Sites, in units of the cell vectors:
I  0.700  0.608  0.608
I  0.773  0.105  0.702
I  0.773  0.702  0.105
I  0.228  0.827  0.827
I  0.227  0.298  0.895
I  0.300  0.392  0.392
I  0.227  0.895  0.298
I  0.772  0.173  0.173
H  0.733  0.730  0.730
H  0.267  0.270  0.270
Pa  0.000  0.000  0.000


[21]
This record from the Alexandria database describes crystalline PaH4I5 at its relaxed geometry. The functional is PBE-GGA.

Final energy in eV/atom: -3.28
Spin magnetization in μB/cell: 0.00

Unit cell a=8.915 b=8.028 c=6.072 alpha=58.12 beta=68.16 gamma=75.79
Sites, in units of the cell vectors:
Pa  0.827  0.986  0.917
H  0.105  0.498  0.257
H  0.801  0.216  0.570
H  0.820  0.707  0.205
H  0.730  0.542  0.803
I  0.156  0.694  0.930
I  0.098  0.255  0.674
I  0.608  0.354  0.991
I  0.489  0.882  0.154
I  0.855  0.866  0.499


[22]
This record from the Alexandria database describes crystalline PaHSI at its relaxed geometry. The functional is PBE-GGA.

Final energy in eV/atom: -5.71
Spin magnetization in μB/cell: 1.00
N(E_F) in states/eV/f.u.: 4.90

Unit cell a=3.957 b=3.957 c=7.778 alpha=90.10 beta=104.63 gamma=120.00
Last column: magnetic moment on the atom in μB.
Sites, in units of the cell vectors:
Pa  0.818  0.274  0.092  0.96
I  0.353  0.042  0.396  -0.02
H  0.502  0.616  0.118  -0.01
S  0.018  0.873  0.891  -0.03


[23]
This record from the Alexandria database describes crystalline PaHSeI at its relaxed geometry. The functional is PBE-GGA.

Final energy in eV/atom: -5.47
Spin magnetization in μB/cell: 1.00
N(E_F) in states/eV/f.u.: 5.11

Unit cell a=3.991 b=3.991 c=7.877 alpha=90.10 beta=104.58 gamma=119.99
Last column: magnetic moment on the atom in μB.
Sites, in units of the cell vectors:
I  0.355  0.043  0.397  -0.02
H  0.505  0.617  0.122  -0.01
Se  0.008  0.868  0.876  -0.04
Pa  0.824  0.277  0.101  0.97


[24]
This record from the Alexandria database describes crystalline HPbI2 at its relaxed geometry. The functional is PBE-GGA.

Final energy in eV/atom: -2.44
Spin magnetization in μB/cell: 2.00
N(E_F) in states/eV/f.u.: 0.00

Unit cell a=10.478 b=10.478 c=6.500 alpha=90.00 beta=90.00 gamma=154.79
Last column: magnetic moment on the atom in μB.
Sites, in units of the cell vectors:
H  0.027  0.973  0.250  0.36
H  0.973  0.027  0.750  0.36
I  0.428  0.572  0.250  0.03
I  0.199  0.801  0.250  0.01
I  0.801  0.199  0.750  0.01
I  0.572  0.428  0.750  0.03
Pb  0.174  0.826  0.750  0.02
Pb  0.826  0.174  0.250  0.02